TiNbZnHg | PBE | relaxed Values from VASP.

* space-group type: I4mm, No. 107
* N(E_F): 3.602 states/eV/f.u.
* energy of formation from the pure elements: 0.181 eV per atom

Cell and atoms, written as Quantum ESPRESSO input:
```
&SYSTEM
  ibrav = 0, nat = 4, ntyp = 4
/
ATOMIC_SPECIES
Hg 200.59 Hg.upf
Ti 47.87 Ti.upf
Nb 92.91 Nb.upf
Zn 65.41 Zn.upf
CELL_PARAMETERS angstrom
-1.597 0.275 2.336
-0.622 -2.772 -0.099
8.367 -0.564 4.056
ATOMIC_POSITIONS angstrom
Hg 2.579 -0.644 1.839
Ti -0.378 -1.432 1.640
Nb 4.894 -1.223 3.489
Zn 5.378 -2.869 5.743
```